1.
An optimized crystal structure of Nd6MnSe8. Source: Alexandria via LeMat-Bulk, functional PBE.

Lattice parameters (Å, degrees): 8.7232 8.7232 17.9299 90.00 90.00 120.00
Closest atoms and distances in Å follow each position.
Space group R-3 (No. 148, hexagonal axes)
Asymmetric unit:
Nd 0.0020 0.3848 0.0818 [18 per cell]  7 Se 2.92-3.21
Mn 0.0000 0.0000 0.0000 [3 per cell]  6 Se 2.77
Se 0.0000 0.0000 0.3278 [6 per cell]  6 Nd 3.05-3.12
Se 0.0043 0.7401 0.0872 [18 per cell]  1 Mn 2.77, 4 Nd 2.92-3.09

Formation energy (no corrections), eV/atom: -1.608
E, eV/atom: -5.98
M_tot, μB per cell: 12.42



2.
An optimized crystal structure of Be2HPdRu. Source: Alexandria via LeMat-Bulk, functional PBE.

Lattice parameters (Å, degrees): 3.9128 3.9128 3.1991 90.00 90.00 90.00
Closest atoms and distances in Å follow each position.
Space group P4/mmm (No. 123)
Asymmetric unit:
Be 0.0000 0.5000 0.0000 [2 per cell]  2 H 1.96
H 0.0000 0.0000 0.0000 [1 per cell]  2 Ru 1.60
Pd 0.5000 0.5000 0.5000 [1 per cell]  8 Be 2.53, 4 Ru 2.77
Ru 0.0000 0.0000 0.5000 [1 per cell]  2 H 1.60

E, eV/atom: -5.21
M_tot, μB per cell: 0.00



3.
An optimized crystal structure of Rb2ReI2Br4. Source: Alexandria via LeMat-Bulk, functional PBE.

Lattice parameters (Å, degrees): 13.5335 7.8082 7.8756 90.00 124.71 90.00
Closest atoms and distances in Å follow each position.
Space group C2/m (No. 12)
Asymmetric unit:
Rb 0.2469 0.0000 0.2271 [4 per cell]  6 Br 3.70-4.09, 4 I 3.82-4.06
Re 0.0000 0.5000 0.0000 [2 per cell]  4 Br 2.54, 2 I 2.75
I 0.2458 0.5000 0.2809 [4 per cell]  1 Re 2.75
Br 0.0183 0.2703 0.7912 [8 per cell]  1 Re 2.54

Formation energy (no corrections), eV/atom: -0.875
E, eV/atom: -3.56
M_tot, μB per cell: 6.00



4.
An optimized crystal structure of Ta4OsSe. Source: Alexandria via LeMat-Bulk, functional PBE.

Lattice parameters (Å, degrees): 7.6349 7.6349 7.6349 90.00 90.00 90.00
Closest atoms and distances in Å follow each position.
Space group F-43m (No. 216)
Asymmetric unit:
Ta 0.1254 0.1254 0.1254 [16 per cell]  6 Ta 2.69-2.71
Os 0.0000 0.0000 0.5000 [4 per cell]  12 Ta 3.16, 4 Se 3.31
Se 0.2500 0.2500 0.7500 [4 per cell]  12 Ta 3.17, 4 Os 3.31

Formation energy (no corrections), eV/atom: 0.651
E, eV/atom: -9.70
M_tot, μB per cell: 0.00



5.
An optimized crystal structure of TbPd3O6. Source: Alexandria via LeMat-Bulk, functional PBE.

Lattice parameters (Å, degrees): 7.1339 10.1488 3.4691 90.00 90.00 90.00
Closest atoms and distances in Å follow each position.
Space group Cmmm (No. 65)
Asymmetric unit:
Tb 0.0000 0.0000 0.0000 [2 per cell]  8 O 2.32-2.45
Pd 0.0000 0.5000 0.0000 [2 per cell]  4 O 1.99
Pd 0.2500 0.2500 0.5000 [4 per cell]  6 O 2.04-2.14
O 0.0000 0.1522 0.5000 [4 per cell]  2 Pd 2.04
O 0.2099 0.3702 0.0000 [8 per cell]  3 Pd 1.99-2.14

Formation energy (no corrections), eV/atom: -1.203
E, eV/atom: -6.20
M_tot, μB per cell: 0.00



6.
An optimized crystal structure of PrTm2C. Source: Alexandria via LeMat-Bulk, functional PBE.

Lattice parameters (Å, degrees): 3.5553 3.5553 27.6148 90.00 90.00 120.00
Closest atoms and distances in Å follow each position.
Space group R3m (No. 160, hexagonal axes)
Asymmetric unit:
Pr 0.0000 0.0000 0.0000 [3 per cell]  6 Pr 3.56, 6 Tm 3.84-3.90
Tm 0.0000 0.0000 0.5466 [3 per cell]  3 C 2.45
Tm 0.0000 0.0000 0.7841 [3 per cell]  3 C 2.43
C 0.0000 0.0000 0.1649 [3 per cell]  6 Tm 2.43-2.45

Energy above the most stable polymorph in this dataset, kJ per mole of atoms: 0.00
E, eV/atom: -5.96
M_tot, μB per cell: 1.38



7.
An optimized crystal structure of Co2IBr. Source: Alexandria via LeMat-Bulk, functional PBE.

Lattice parameters (Å, degrees): 6.7065 6.7065 6.7065 90.00 90.00 90.00
Closest atoms and distances in Å follow each position.
Space group Fm-3m (No. 225)
Asymmetric unit:
Co 0.2500 0.2500 0.2500 [8 per cell]  4 Br 2.90, 4 I 2.90
I 0.0000 0.0000 0.0000 [4 per cell]  8 Co 2.90
Br 0.0000 0.0000 0.5000 [4 per cell]  8 Co 2.90

Energy above the most stable polymorph in this dataset, kJ per mole of atoms: 47.38
Formation energy (no corrections), eV/atom: 0.841
E, eV/atom: -3.52
M_tot, μB per cell: 16.00



8.
An optimized crystal structure of Ta14Os. Source: Alexandria via LeMat-Bulk, functional PBE.

Lattice parameters (Å, degrees): 10.1422 10.1422 5.3431 90.00 90.00 90.00
Closest atoms and distances in Å follow each position.
Space group P4_2/mnm (No. 136)
Asymmetric unit:
Ta 0.0358 0.3700 0.0000 [8 per cell]  6 Ta 2.73-2.92
Ta 0.0655 0.2567 0.5000 [8 per cell]  1 Os 2.69, 9 Ta 2.74-2.96
Ta 0.1018 0.1018 0.0000 [4 per cell]  7 Ta 2.80-3.12, 2 Os 3.04
Ta 0.1812 0.8188 0.2476 [8 per cell]  6 Ta 2.65-2.96, 1 Os 2.93
Os 0.0000 0.0000 0.5000 [2 per cell]  8 Ta 2.69-2.93

E, eV/atom: -11.89
M_tot, μB per cell: 0.00



9.
An optimized crystal structure of RuRhW. Source: Alexandria via LeMat-Bulk, functional PBE.

Lattice parameters (Å, degrees): 4.3636 4.3636 5.4160 90.00 90.00 120.00
Closest atoms and distances in Å follow each position.
Space group P6_3/mmc (No. 194)
Asymmetric unit:
Ru 0.0000 0.0000 0.0000 [2 per cell]  2 Ru 2.71, 6 Rh 2.86, 6 W 2.86
Rh 0.3333 0.6667 0.2500 [2 per cell]  5 W 2.52-2.71
W 0.3333 0.6667 0.7500 [2 per cell]  5 Rh 2.52-2.71

Energy above the most stable polymorph in this dataset, kJ per mole of atoms: 6.18
E, eV/atom: -9.88
M_tot, μB per cell: 0.00



10.
An optimized crystal structure of CsGa2F8. Source: Alexandria via LeMat-Bulk, functional PBE.

Lattice parameters (Å, degrees): 4.8562 4.8562 7.3550 90.00 90.00 90.00
Closest atoms and distances in Å follow each position.
Space group P4/mmm (No. 123)
Asymmetric unit:
Cs 0.0000 0.0000 0.0000 [1 per cell]  8 F 3.04
Ga 0.0000 0.5000 0.5000 [2 per cell]  8 F 2.08
F 0.2504 0.2504 0.3407 [8 per cell]  2 Ga 2.08

Formation energy (no corrections), eV/atom: -2.168
E, eV/atom: -4.16
M_tot, μB per cell: 0.65



11.
An optimized crystal structure of Be2CdPO6. Source: Alexandria via LeMat-Bulk, functional PBE.

Lattice parameters (Å, degrees): 9.4359 10.8228 5.0454 90.00 113.61 90.00
Closest atoms and distances in Å follow each position.
Space group C2/c (No. 15)
Asymmetric unit:
Be 0.2341 0.0832 0.3562 [8 per cell]  4 O 1.60-1.74
Cd 0.0000 0.1095 0.7500 [4 per cell]  6 O 2.25-2.36
P 0.0000 0.2906 0.2500 [4 per cell]  4 O 1.53-1.57
O 0.0928 0.3659 0.5203 [8 per cell]  1 P 1.53, 1 Be 1.60
O 0.1152 0.2058 0.1783 [8 per cell]  1 P 1.57, 1 Be 1.74
O 0.1811 0.0190 0.5946 [8 per cell]  2 Be 1.63-1.64

Formation energy (no corrections), eV/atom: -2.009
E, eV/atom: -6.36
M_tot, μB per cell: 4.13



12.
An optimized crystal structure of PuThCd2. Source: Alexandria via LeMat-Bulk, functional PBE.

Lattice parameters (Å, degrees): 3.2674 3.2674 9.8497 90.00 90.00 90.00
Closest atoms and distances in Å follow each position.
Space group P4/mmm (No. 123)
Asymmetric unit:
Pu 0.0000 0.0000 0.0000 [1 per cell]  4 Pu 3.27, 8 Cd 3.35
Th 0.0000 0.0000 0.5000 [1 per cell]  4 Th 3.27, 8 Cd 3.41
Cd 0.5000 0.5000 0.2457 [2 per cell]  4 Cd 3.27, 4 Pu 3.35, 4 Th 3.41

Energy above the most stable polymorph in this dataset, kJ per mole of atoms: 0.00
E, eV/atom: -5.94
M_tot, μB per cell: 5.90



13.
An optimized crystal structure of Hf3InGa3. Source: Alexandria via LeMat-Bulk, functional PBE.

Lattice parameters (Å, degrees): 7.9148 7.9148 4.9932 90.00 90.00 120.00
Closest atoms and distances in Å follow each position.
Space group P6_3/m (No. 176)
Asymmetric unit:
Hf 0.0945 0.6441 0.2500 [6 per cell]  4 Ga 2.79-2.95, 3 In 3.03-3.08
In 0.3333 0.6667 0.7500 [2 per cell]  9 Hf 3.03-3.08, 3 Ga 3.04
Ga 0.0444 0.8131 0.7500 [6 per cell]  4 Hf 2.79-2.95, 6 Ga 2.91-3.01, 1 In 3.04

E, eV/atom: -6.20
M_tot, μB per cell: 0.00



14.
An optimized crystal structure of Sm6CdIr. Source: Alexandria via LeMat-Bulk, functional PBE.

Lattice parameters (Å, degrees): 6.9888 7.0203 7.6378 90.29 116.85 119.81
Closest atoms and distances in Å follow each position.
Space group P-1 (No. 2)
Asymmetric unit:
Sm 0.0373 0.0804 0.2526 [2 per cell]  1 Ir 2.77, 1 Cd 3.08
Sm 0.2945 0.7142 0.2515 [2 per cell]  1 Ir 2.76, 1 Cd 3.07
Sm 0.3248 0.5412 0.7485 [2 per cell]  1 Ir 2.76, 1 Cd 3.08
Cd 0.5000 0.0000 0.0000 [1 per cell]  6 Sm 3.07-3.08
Ir 0.5000 0.5000 0.5000 [1 per cell]  6 Sm 2.76-2.77

E, eV/atom: -4.84
M_tot, μB per cell: 0.00



15.
An optimized crystal structure of CePaOsPd. Source: Alexandria via LeMat-Bulk, functional PBE.

Lattice parameters (Å, degrees): 6.9707 6.9707 6.9707 90.00 90.00 90.00
Closest atoms and distances in Å follow each position.
Space group F-43m (No. 216)
Asymmetric unit:
Ce 0.0000 0.0000 0.0000 [4 per cell]  4 Os 3.02, 4 Pd 3.02
Pa 0.0000 0.0000 0.5000 [4 per cell]  4 Os 3.02, 4 Pd 3.02
Os 0.2500 0.2500 0.2500 [4 per cell]  4 Ce 3.02, 4 Pa 3.02
Pd 0.2500 0.2500 0.7500 [4 per cell]  4 Ce 3.02, 4 Pa 3.02

E, eV/atom: -8.28
M_tot, μB per cell: 1.85



16.
An optimized crystal structure of KHgAsPb2. Source: Alexandria via LeMat-Bulk, functional PBE.

Lattice parameters (Å, degrees): 7.8554 4.1404 10.9250 90.00 108.33 90.00
Closest atoms and distances in Å follow each position.
Space group P2_1/m (No. 11)
Asymmetric unit:
K 0.2177 0.2500 0.1644 [2 per cell]  3 As 3.28-3.42, 1 Hg 3.54, 2 Pb 3.60
Hg 0.3519 0.2500 0.5055 [2 per cell]  2 Hg 3.15, 3 Pb 3.34-3.46
As 0.2220 0.7500 0.9163 [2 per cell]  3 Pb 2.81-2.97
Pb 0.0933 0.7500 0.6300 [2 per cell]  1 As 2.97
Pb 0.4085 0.2500 0.8398 [2 per cell]  2 As 2.81

E, eV/atom: -2.82
M_tot, μB per cell: 0.00



17.
An optimized crystal structure of InNiRh2. Source: Alexandria via LeMat-Bulk, functional PBE.

Lattice parameters (Å, degrees): 5.4114 9.1164 2.8006 90.00 118.66 90.00
Closest atoms and distances in Å follow each position.
Space group C2/m (No. 12)
Asymmetric unit:
In 0.0000 0.0000 0.0000 [2 per cell]  4 Rh 2.68, 4 Ni 2.71-2.81, 2 In 2.80
Ni 0.0000 0.5000 0.0000 [2 per cell]  4 Rh 2.68, 4 In 2.71-2.81, 2 Ni 2.80
Rh 0.2500 0.2500 0.5000 [4 per cell]  2 In 2.68, 2 Ni 2.68, 6 Rh 2.71-2.81

E, eV/atom: -5.74
M_tot, μB per cell: 0.01



18.
An optimized crystal structure of SrVAu. Source: Alexandria via LeMat-Bulk, functional PBE.

Lattice parameters (Å, degrees): 4.5314 4.5314 7.5878 90.00 90.00 90.00
Closest atoms and distances in Å follow each position.
Space group P4/nmm (No. 129, origin choice 2)
Asymmetric unit:
Sr 0.2500 0.7500 0.0000 [2 per cell]  4 Au 3.19, 4 Sr 3.20, 4 V 3.49
V 0.2500 0.2500 0.3491 [2 per cell]  1 Au 2.70
Au 0.2500 0.2500 0.7046 [2 per cell]  1 V 2.70

Energy above the most stable polymorph in this dataset, kJ per mole of atoms: 56.60
E, eV/atom: -4.14
M_tot, μB per cell: 7.80



19.
An optimized crystal structure of Ag2RuCl. Source: Alexandria via LeMat-Bulk, functional PBE.

Lattice parameters (Å, degrees): 5.3418 9.2915 2.7954 90.00 90.00 90.00
Closest atoms and distances in Å follow each position.
Space group Cmmm (No. 65)
Asymmetric unit:
Ag 0.2500 0.2500 0.0000 [4 per cell]  4 Ag 2.67-2.80
Ru 0.0000 0.0000 0.5000 [2 per cell]  2 Cl 2.67, 2 Ru 2.80
Cl 0.0000 0.5000 0.5000 [2 per cell]  2 Ru 2.67, 2 Cl 2.80

Energy above the most stable polymorph in this dataset, kJ per mole of atoms: 24.78
Formation energy (no corrections), eV/atom: 0.572
E, eV/atom: -3.63
M_tot, μB per cell: 0.00



20.
An optimized crystal structure of KLiCu2. Source: Alexandria via LeMat-Bulk, functional PBE.

Lattice parameters (Å, degrees): 5.4521 8.4958 3.5059 90.00 90.58 90.00
Closest atoms and distances in Å follow each position.
Space group C2/m (No. 12)
Asymmetric unit:
K 0.0000 0.0000 0.0000 [2 per cell]  2 Li 2.73
Li 0.0000 0.5000 0.0000 [2 per cell]  2 K 2.73
Cu 0.2500 0.2500 0.5000 [4 per cell]  2 Cu 2.73

Energy above the most stable polymorph in this dataset, kJ per mole of atoms: 32.51
E, eV/atom: -2.31
M_tot, μB per cell: 0.00



21.
An optimized crystal structure of LaAuSe2Br. Source: Alexandria via LeMat-Bulk, functional PBE.

Lattice parameters (Å, degrees): 5.8182 5.8182 5.7295 90.00 90.00 90.00
Closest atoms and distances in Å follow each position.
Space group P4/mmm (No. 123)
Asymmetric unit:
La 0.0000 0.0000 0.0000 [1 per cell]  2 Br 2.86, 4 Se 2.91
Au 0.5000 0.5000 0.5000 [1 per cell]  8 Se 4.08, 4 Br 4.11
Se 0.0000 0.5000 0.0000 [2 per cell]  2 La 2.91
Br 0.0000 0.0000 0.5000 [1 per cell]  2 La 2.86

Energy above the most stable polymorph in this dataset, kJ per mole of atoms: 35.08
Formation energy (no corrections), eV/atom: -0.278
E, eV/atom: -3.65
M_tot, μB per cell: 0.60



22.
An optimized crystal structure of La2InHgN. Source: Alexandria via LeMat-Bulk, functional PBE.

Lattice parameters (Å, degrees): 4.3057 4.3057 13.5640 90.00 90.00 90.00
Closest atoms and distances in Å follow each position.
Space group P4/nmm (No. 129, origin choice 2)
Asymmetric unit:
La 0.2500 0.2500 0.0828 [2 per cell]  1 N 2.29
La 0.2500 0.2500 0.7401 [2 per cell]  1 N 2.36
In 0.2500 0.7500 0.5000 [2 per cell]  4 In 3.04, 4 Hg 3.06
Hg 0.2500 0.2500 0.3400 [2 per cell]  4 In 3.06, 4 La 3.23
N 0.2500 0.2500 0.9140 [2 per cell]  2 La 2.29-2.36

Energy above the most stable polymorph in this dataset, kJ per mole of atoms: 0.00
Formation energy (no corrections), eV/atom: -0.677
E, eV/atom: -4.92
M_tot, μB per cell: 1.02



23.
An optimized crystal structure of PrZnGa2Ge. Source: Alexandria via LeMat-Bulk, functional PBE.

Lattice parameters (Å, degrees): 6.3145 6.3145 11.4680 90.00 90.00 90.00
Closest atoms and distances in Å follow each position.
Space group I4cm (No. 108)
Asymmetric unit:
Pr 0.0000 0.0000 0.0000 [4 per cell]  2 Zn 2.85-2.89
Zn 0.0000 0.0000 0.2483 [4 per cell]  4 Ga 2.48
Ga 0.1432 0.3568 0.2933 [8 per cell]  2 Zn 2.48, 1 Ga 2.56
Ge 0.0000 0.5000 0.0715 [4 per cell]  2 Ga 2.85

E, eV/atom: -3.43
M_tot, μB per cell: 0.00